No. 1
First-principles (PBE-GGA) data for CaCoIr after structural relaxation, as listed in Alexandria via LeMat-Bulk.

a = 6.1078 Å, b = 6.1078 Å, c = 6.1078 Å
α = 90.00°, β = 90.00°, γ = 90.00°
With the nearest neighbours (Å) after each atom.
Fractional positions:
Ca1 0.0000 0.0000 0.0000  4 Co 2.64
Ca2 0.0000 0.5000 0.5000  4 Co 2.64
Ca3 0.5000 0.0000 0.5000  4 Co 2.64
Ca4 0.5000 0.5000 0.0000  4 Co 2.64
Co1 0.2500 0.2500 0.7500  4 Ca 2.64, 4 Ir 2.64
Co2 0.2500 0.7500 0.2500  4 Ca 2.64, 4 Ir 2.64
Co3 0.7500 0.2500 0.2500  4 Ca 2.64, 4 Ir 2.64
Co4 0.7500 0.7500 0.7500  4 Ca 2.64, 4 Ir 2.64
Ir1 0.0000 0.0000 0.5000  4 Co 2.64
Ir2 0.0000 0.5000 0.0000  4 Co 2.64
Ir3 0.5000 0.0000 0.0000  4 Co 2.64
Ir4 0.5000 0.5000 0.5000  4 Co 2.64

Properties
* E_form: 8.25 kcal/mol of atoms
* symmetry: F-43m, No. 216
* ΔE to the lowest computed polymorph: 0.584 eV per atom
* M_tot: 0.781 μB per atom
* DFT total energy: -16.895 eV per formula unit

=====

No. 2
First-principles (PBE-GGA) data for Ca3CoIr after structural relaxation, as listed in Alexandria via LeMat-Bulk.

a = 5.4072 Å, b = 5.4072 Å, c = 5.4072 Å
α = 90.00°, β = 90.00°, γ = 90.00°
With the nearest neighbours (Å) after each atom.
Fractional positions:
Ca1 0.0000 0.0000 0.5000  2 Ir 2.70
Ca2 0.0000 0.5000 0.0000  2 Ir 2.70
Ca3 0.5000 0.0000 0.0000  2 Ir 2.70
Co1 0.5000 0.5000 0.5000  12 Ca 3.82
Ir1 0.0000 0.0000 0.0000  6 Ca 2.70

Properties
* E_form: 9.06 kcal/mol of atoms
* symmetry: Pm-3m, No. 221
* ΔE to the lowest computed polymorph: 0.000 eV per atom
* M_tot: 0.360 μB per atom
* DFT total energy: -20.006 eV per formula unit